[1]
VASP calculation (PBE) on a relaxed structure of RbNaLi2Sb.

a b c (Å): 5.448 5.448 6.072
angles (deg): 90.00 90.00 90.00
Element x y z (fractional)
Rb 0.000 0.000 0.000
Na 0.500 0.500 0.000
Li 0.000 0.500 0.500
Li 0.500 0.000 0.500
Sb 0.500 0.500 0.500

Output
SG: P4/mmm
formation energy from raw total energies: -0.27 eV per atom
final energy: -2.31 eV/atom
size of the total moment: 0.0 μB per cell

[2]
VASP calculation (PBE) on a relaxed structure of BaNdMnTe4.

a b c (Å): 7.872 6.551 9.709
angles (deg): 90.00 107.27 90.00
Element x y z (fractional)
Ba 0.247 0.250 0.439
Ba 0.753 0.750 0.561
Nd 0.235 0.250 0.939
Nd 0.765 0.750 0.061
Mn 0.239 0.750 0.179
Mn 0.761 0.250 0.821
Te 0.065 0.750 0.372
Te 0.070 0.750 0.900
Te 0.484 0.508 0.775
Te 0.484 0.992 0.775
Te 0.516 0.008 0.225
Te 0.516 0.492 0.225
Te 0.930 0.250 0.100
Te 0.935 0.250 0.628

Output
SG: P2_1/m
formation energy from raw total energies: -1.07 eV per atom
final energy: -5.13 eV/atom
size of the total moment: 9.6 μB per cell

[3]
VASP calculation (PBE) on a relaxed structure of AlOs2Pb.

a b c (Å): 3.157 3.157 6.556
angles (deg): 90.00 90.00 90.00
Element x y z (fractional)
Al 0.000 0.000 0.000
Os 0.500 0.500 0.218
Os 0.500 0.500 0.782
Pb 0.000 0.000 0.500

Output
SG: P4/mmm
relative energy among the computed polymorphs: 147 meV/atom
formation energy: 0.444 eV per atom
final energy: -7.03 eV/atom
size of the total moment: 0.0 μB per cell